Computed, not measured: a geometry-optimized BaCuTc3 structure at the PBE level of DFT.

Final energy ... -5.845 eV per atom
SG ... Pm-3m, No. 221
Relative energy among the computed polymorphs ... 0.000 eV per atom
Crystal system ... cubic

a b c (Å): 4.7590 4.7590 4.7590
angles (deg): 90.00 90.00 90.00
Last column: nearest neighbours and their distance in Å.
Positions (direct):
Ba 0.0000 0.0000 0.0000  12 Tc 3.37
Cu 0.5000 0.5000 0.5000  6 Tc 2.38
Tc 0.0000 0.5000 0.5000  2 Cu 2.38
Tc 0.5000 0.0000 0.5000  2 Cu 2.38
Tc 0.5000 0.5000 0.0000  2 Cu 2.38

Computed, not measured: a geometry-optimized YAl structure at the PBE level of DFT.

Final energy ... -4.098 eV per atom
SG ... Pm-3n, No. 223
Crystal system ... cubic

a b c (Å): 8.2973 8.2973 8.2973
angles (deg): 90.00 90.00 90.00
Last column: nearest neighbours and their distance in Å.
Positions (direct):
Y 0.0000 0.2500 0.5000  4 Al 2.93
Y 0.0000 0.7500 0.5000  4 Al 2.93
Y 0.2500 0.5000 0.0000  4 Al 2.93
Y 0.5000 0.0000 0.2500  4 Al 2.93
Y 0.5000 0.0000 0.7500  4 Al 2.93
Y 0.7500 0.5000 0.0000  4 Al 2.93
Al 0.0000 0.5000 0.2500  4 Y 2.93
Al 0.0000 0.5000 0.7500  4 Y 2.93
Al 0.2500 0.0000 0.5000  4 Y 2.93
Al 0.5000 0.2500 0.0000  4 Y 2.93
Al 0.5000 0.7500 0.0000  4 Y 2.93
Al 0.7500 0.0000 0.5000  4 Y 2.93

D(E_F) in states/eV/atom, matching the order above: 1.788, 2.617
Calculated formation energy in eV/atom, matching the order above: 1.58, 1.01